Compound: Mg2Mo
Source: OQMD
Functional: PBE-GGA
Structure: optimized geometry

Output
Its total magnetic moment is 1.69 μB/atom.

Lattice parameters (Å, degrees): 9.418 9.418 9.418 60.00 60.00 60.00
Positions (direct):
Mg  0.000  0.000  0.000
Mg  0.000  0.000  0.500
Mg  0.000  0.500  0.000
Mg  0.500  0.000  0.000
Mo  0.125  0.125  0.125
Mo  0.875  0.875  0.875



Compound: Al12Co17
Source: OQMD
Functional: PBE-GGA
Structure: optimized geometry

Output
Its total magnetic moment is 0.64 μB/atom.

Lattice parameters (Å, degrees): 7.676 7.676 7.676 109.47 109.47 109.47
Positions (direct):
Al  0.000  0.412  0.697
Al  0.000  0.697  0.412
Al  0.285  0.588  0.588
Al  0.303  0.303  0.715
Al  0.303  0.715  0.303
Al  0.412  0.000  0.697
Al  0.412  0.697  0.000
Al  0.588  0.285  0.588
Al  0.588  0.588  0.285
Al  0.697  0.000  0.412
Al  0.697  0.412  0.000
Al  0.715  0.303  0.303
Co  0.000  0.000  0.000
Co  0.000  0.000  0.661
Co  0.000  0.190  0.371
Co  0.000  0.371  0.190
Co  0.000  0.661  0.000
Co  0.181  0.810  0.810
Co  0.190  0.000  0.371
Co  0.190  0.371  0.000
Co  0.339  0.339  0.339
Co  0.371  0.000  0.190
Co  0.371  0.190  0.000
Co  0.629  0.629  0.819
Co  0.629  0.819  0.629
Co  0.661  0.000  0.000
Co  0.810  0.181  0.810
Co  0.810  0.810  0.181
Co  0.819  0.629  0.629



Compound: AsAuSO
Source: OQMD
Functional: PBE-GGA
Structure: optimized geometry

Lattice parameters (Å, degrees): 6.775 7.496 5.919 90.00 92.29 90.00
Positions (direct):
As  0.049  0.161  0.270
As  0.049  0.339  0.770
As  0.951  0.661  0.230
As  0.951  0.839  0.730
Au  0.467  0.602  0.296
Au  0.467  0.898  0.796
Au  0.533  0.102  0.204
Au  0.533  0.398  0.704
S  0.315  0.154  0.647
S  0.315  0.346  0.147
S  0.685  0.654  0.853
S  0.685  0.846  0.353
O  0.085  0.714  0.518
O  0.085  0.786  0.018
O  0.915  0.214  0.982
O  0.915  0.286  0.482



Compound: NaTmSnSe3
Source: OQMD
Functional: PBE-GGA
Structure: optimized geometry

Output
Its total magnetic moment is 0.00 μB/atom.

Lattice parameters (Å, degrees): 13.953 4.083 12.129 90.00 90.00 90.00
Positions (direct):
Na  0.233  0.250  0.114
Na  0.267  0.750  0.614
Na  0.733  0.250  0.386
Na  0.767  0.750  0.886
Tm  0.003  0.750  0.645
Tm  0.497  0.250  0.145
Tm  0.503  0.750  0.855
Tm  0.997  0.250  0.355
Sn  0.051  0.250  0.911
Sn  0.449  0.750  0.411
Sn  0.551  0.250  0.589
Sn  0.949  0.750  0.089
Se  0.097  0.750  0.231
Se  0.113  0.250  0.544
Se  0.148  0.750  0.813
Se  0.352  0.250  0.313
Se  0.387  0.750  0.044
Se  0.403  0.250  0.731
Se  0.597  0.750  0.269
Se  0.613  0.250  0.956
Se  0.648  0.750  0.687
Se  0.852  0.250  0.187
Se  0.887  0.750  0.456
Se  0.903  0.250  0.769



Compound: OsI
Source: OQMD
Functional: PBE-GGA
Structure: optimized geometry

Output
Its total magnetic moment is 0.00 μB/atom.

Lattice parameters (Å, degrees): 3.178 3.178 4.487 90.00 90.00 120.00
Positions (direct):
Os  0.000  0.000  0.000
I  0.333  0.667  0.500



Compound: PdSeS
Source: OQMD
Functional: PBE-GGA
Structure: optimized geometry

Lattice parameters (Å, degrees): 3.653 10.141 10.141 142.41 90.00 90.00
Positions (direct):
Pd  0.000  0.000  0.000
Pd  0.500  0.382  0.382
Se  0.500  0.708  0.829
Se  0.500  0.829  0.708
S  0.000  0.214  0.365
S  0.000  0.365  0.214



Number 1: E_tot -2.4382 eV/atom, relative energy among the computed polymorphs 1972.7 meV per atom. Number 2: E_tot -5.9156 eV/atom, relative energy among the computed polymorphs 0.0 meV per atom. Number 3: E_tot -4.5863 eV/atom, relative energy among the computed polymorphs 172.8 meV per atom. Number 4: E_tot -4.5910 eV/atom, relative energy among the computed polymorphs 0.0 meV per atom. Number 5: E_tot -4.5880 eV/atom, relative energy among the computed polymorphs 393.1 meV per atom. Number 6: E_tot -4.1971 eV/atom, relative energy among the computed polymorphs 280.2 meV per atom.